A plane-wave DFT calculation with GGA-PBE was carried out for a geometry-optimized CrS2N structure.

DOS(E_F): 9.14 states/eV/cell
formation energy from raw total energies: 30.88 kcal/mol of atoms

CIF file:
```
data_CrS2N
_space_group_name_H-M_alt 'R -3 m'
_space_group_IT_number 166
_space_group_name_Hall '-R 3 2"'
_cell_length_a 3.0095
_cell_length_b 3.0095
_cell_length_c 20.6244
_cell_angle_alpha 90.00
_cell_angle_beta 90.00
_cell_angle_gamma 120.00
loop_
_atom_site_label
_atom_site_type_symbol
_atom_site_fract_x
_atom_site_fract_y
_atom_site_fract_z
Cr1 Cr 0.0000 0.0000 0.0000
S1 S 0.0000 0.0000 0.1016
N1 N 0.0000 0.0000 0.5000
```

***

A plane-wave DFT calculation with GGA-PBE was carried out for a geometry-optimized U2ReN structure.

excess energy over the best structure of this formula in the dataset: 0 meV/atom
DOS(E_F): 6.03 states/eV/cell
formation energy from raw total energies: -3.32 kcal/mol of atoms

CIF file:
```
data_U2ReN
_space_group_name_H-M_alt 'P 4/m m m'
_space_group_IT_number 123
_space_group_name_Hall '-P 4 2'
_cell_length_a 2.957
_cell_length_b 2.957
_cell_length_c 7.157
_cell_angle_alpha 90.00
_cell_angle_beta 90.00
_cell_angle_gamma 90.00
loop_
_atom_site_label
_atom_site_type_symbol
_atom_site_fract_x
_atom_site_fract_y
_atom_site_fract_z
U1 U 0.000 0.000 0.213
Re1 Re 0.500 0.500 0.500
N1 N 0.500 0.500 0.000
```

***

A plane-wave DFT calculation with GGA-PBE was carried out for a geometry-optimized AgSb2Br8 structure.

excess energy over the best structure of this formula in the dataset: 0 meV/atom
DOS(E_F): 13.16 states/eV/cell
formation energy from raw total energies: -9.99 kcal/mol of atoms

CIF file:
```
data_AgSb2Br8
_space_group_name_H-M_alt 'C 1 2/m 1'
_space_group_IT_number 12
_cell_length_a 14.705
_cell_length_b 7.836
_cell_length_c 8.330
_cell_angle_alpha 90.00
_cell_angle_beta 91.46
_cell_angle_gamma 90.00
loop_
_space_group_symop_operation_xyz
'x,y,z'
'-x,-y,-z'
'-x,y,-z'
'x,-y,z'
'x+1/2,y+1/2,z'
'-x+1/2,-y+1/2,-z'
'-x+1/2,y+1/2,-z'
'x+1/2,-y+1/2,z'
loop_
_atom_site_label
_atom_site_type_symbol
_atom_site_fract_x
_atom_site_fract_y
_atom_site_fract_z
Ag1 Ag 0.000 0.000 0.000
Sb1 Sb 0.137 0.000 0.360
Br1 Br 0.074 0.000 0.716
Br2 Br 0.133 0.243 0.147
Br3 Br 0.190 0.500 0.590
```

***

Number 1: density 4.01 g cm⁻³. Number 2: density 17.95 g cm⁻³. Number 3: density 3.43 g cm⁻³.